Entry 1:
Density functional theory data (PBE-GGA) for crystalline MgBeBr2 at its relaxed geometry.

Cell and atoms, written as POSCAR:
```
MgBeBr2
1.0
1.857 -3.408 0.000
1.857 3.408 0.000
0.000 0.000 10.648
Mg Be Br
1 1 2
Cartesian
0.000 0.000 0.000 Mg
0.000 0.000 5.324 Be
1.857 0.000 1.768 Br
1.857 0.000 8.880 Br
```

Results
- density (kg/m3) = 2379
- ΔE to the lowest computed polymorph (meV per atom) = 464.2
- magnetic moment (μB per atom) = 0.000
- formation energy without anion corrections (eV/atom) = -0.075
- SG = Cmmm, No. 65
- electronic total energy (eV/atom) = -2.241

Entry 2:
Density functional theory data (PBE-GGA) for crystalline MgBe2Br at its relaxed geometry.

Cell and atoms, written as POSCAR:
```
MgBe2Br
1.0
1.642 -2.831 0.000
1.642 2.831 0.000
0.000 0.000 7.753
Mg Be Br
1 2 1
Cartesian
0.000 0.000 0.000 Mg
1.642 0.000 2.033 Be
1.642 0.000 5.720 Be
0.000 0.000 3.876 Br
```

Results
- density (kg/m3) = 2815
- ΔE to the lowest computed polymorph (meV per atom) = 489.5
- magnetic moment (μB per atom) = 0.000
- formation energy without anion corrections (eV/atom) = 0.613
- SG = Cmmm, No. 65
- electronic total energy (eV/atom) = -2.067

Entry 3:
Density functional theory data (PBE-GGA) for crystalline MgBeBr2 at its relaxed geometry.

Cell and atoms, written as POSCAR:
```
MgBeBr2
1.0
3.392 0.000 0.000
0.000 3.392 0.000
0.000 0.000 9.608
Mg Be Br
1 1 2
Cartesian
0.000 0.000 0.000 Mg
0.000 0.000 4.804 Be
1.696 1.696 1.637 Br
1.696 1.696 7.971 Br
```

Results
- density (kg/m3) = 2901
- ΔE to the lowest computed polymorph (meV per atom) = 568.6
- magnetic moment (μB per atom) = 0.000
- formation energy without anion corrections (eV/atom) = 0.030
- SG = P4/mmm, No. 123
- electronic total energy (eV/atom) = -2.137

Entry 4:
Density functional theory data (PBE-GGA) for crystalline MgBeBr2 at its relaxed geometry.

Cell and atoms, written as POSCAR:
```
MgBeBr2
1.0
3.316 0.000 0.000
0.000 3.316 0.000
0.000 0.000 8.687
Mg Be Br
1 1 2
Cartesian
0.000 0.000 0.000 Mg
1.658 1.658 2.174 Be
0.000 0.000 3.316 Br
1.658 1.658 7.081 Br
```

Results
- density (kg/m3) = 3358
- ΔE to the lowest computed polymorph (meV per atom) = 360.7
- magnetic moment (μB per atom) = 0.000
- formation energy without anion corrections (eV/atom) = -0.178
- SG = P4mm, No. 99
- electronic total energy (eV/atom) = -2.345

Entry 5:
Density functional theory data (PBE-GGA) for crystalline MgBeBr2 at its relaxed geometry.

Cell and atoms, written as POSCAR:
```
MgBeBr2
1.0
1.721 0.994 9.995
-1.721 0.994 9.995
0.000 -1.987 9.995
Mg Be Br
1 1 2
Cartesian
0.000 0.000 0.000 Mg
0.000 0.000 14.993 Be
0.000 0.000 3.613 Br
0.000 0.000 26.373 Br
```

Results
- density (kg/m3) = 3128
- ΔE to the lowest computed polymorph (meV per atom) = 171.4
- magnetic moment (μB per atom) = 0.000
- formation energy without anion corrections (eV/atom) = -0.368
- SG = R-3m, No. 166
- electronic total energy (eV/atom) = -2.534

Entry 6:
Density functional theory data (PBE-GGA) for crystalline Mg2BeBr at its relaxed geometry.

Cell and atoms, written as POSCAR:
```
Mg2BeBr
1.0
0.000 3.546 3.546
3.546 0.000 3.546
3.546 3.546 0.000
Mg Be Br
2 1 1
Cartesian
1.773 1.773 1.773 Mg
5.320 5.320 5.320 Mg
0.000 0.000 0.000 Be
3.546 3.546 3.546 Br
```

Results
- density (kg/m3) = 2560
- ΔE to the lowest computed polymorph (meV per atom) = 574.8
- magnetic moment (μB per atom) = 0.000
- formation energy without anion corrections (eV/atom) = 0.450
- SG = Fm-3m, No. 225
- electronic total energy (eV/atom) = -1.697

Entry 7:
Density functional theory data (PBE-GGA) for crystalline MgBe2Br at its relaxed geometry.

Cell and atoms, written as POSCAR:
```
MgBe2Br
1.0
-1.552 2.186 5.107
1.552 -2.186 5.107
1.552 2.186 -5.107
Mg Be Br
1 2 1
Cartesian
0.000 0.000 0.000 Mg
1.552 0.000 2.511 Be
0.000 2.186 2.596 Be
0.000 0.000 5.107 Br
```

Results
- density (kg/m3) = 2929
- ΔE to the lowest computed polymorph (meV per atom) = 490.2
- magnetic moment (μB per atom) = 0.000
- formation energy without anion corrections (eV/atom) = 0.614
- SG = Immm, No. 71
- electronic total energy (eV/atom) = -2.066

Entry 8:
Density functional theory data (PBE-GGA) for crystalline MgBe2Br at its relaxed geometry.

Cell and atoms, written as POSCAR:
```
MgBe2Br
1.0
-1.551 2.811 4.234
1.551 -2.811 4.234
1.551 2.811 -4.234
Mg Be Br
1 2 1
Cartesian
0.000 0.000 0.000 Mg
1.551 0.000 2.250 Be
0.000 0.000 3.912 Be
0.000 2.811 1.392 Br
```

Results
- density (kg/m3) = 2749
- ΔE to the lowest computed polymorph (meV per atom) = 383.8
- magnetic moment (μB per atom) = 0.000
- formation energy without anion corrections (eV/atom) = 0.508
- SG = Imm2, No. 44
- electronic total energy (eV/atom) = -2.172

Entry 9:
Density functional theory data (PBE-GGA) for crystalline MgBeBr2 at its relaxed geometry.

Cell and atoms, written as POSCAR:
```
MgBeBr2
1.0
-3.551 3.551 4.767
3.551 -3.551 4.767
3.551 3.551 -4.767
Mg Be Br
2 2 4
Cartesian
0.000 0.000 0.000 Mg
0.000 3.551 2.384 Mg
3.551 0.000 2.384 Be
0.000 0.000 4.767 Be
1.776 -0.624 3.575 Br
2.927 1.776 1.192 Br
1.776 4.175 -1.192 Br
0.624 1.776 5.959 Br
```

Results
- density (kg/m3) = 2667
- ΔE to the lowest computed polymorph (meV per atom) = 290.2
- magnetic moment (μB per atom) = 0.000
- formation energy without anion corrections (eV/atom) = -0.249
- SG = I-42d, No. 122
- electronic total energy (eV/atom) = -2.416

Entry 10:
Density functional theory data (PBE-GGA) for crystalline Mg2BeBr at its relaxed geometry.

Cell and atoms, written as POSCAR:
```
Mg2BeBr
1.0
-3.654 3.654 3.367
3.654 -3.654 3.367
3.654 3.654 -3.367
Mg Be Br
4 2 2
Cartesian
5.482 1.633 -0.842 Mg
1.633 1.827 0.842 Mg
-1.827 2.021 2.525 Mg
2.021 1.827 4.208 Mg
0.000 0.000 0.000 Be
0.000 3.654 1.683 Be
3.654 0.000 1.683 Br
0.000 0.000 3.367 Br
```

Results
- density (kg/m3) = 2540
- ΔE to the lowest computed polymorph (meV per atom) = 292.0
- magnetic moment (μB per atom) = 0.000
- formation energy without anion corrections (eV/atom) = 0.167
- SG = I-42d, No. 122
- electronic total energy (eV/atom) = -1.980

Entry 11:
Density functional theory data (PBE-GGA) for crystalline Mg2BeBr at its relaxed geometry.

Cell and atoms, written as POSCAR:
```
Mg2BeBr
1.0
1.654 0.955 10.323
-1.654 0.955 10.323
0.000 -1.910 10.323
Mg Be Br
2 1 1
Cartesian
0.000 0.000 0.000 Mg
0.000 0.000 7.707 Mg
0.000 0.000 15.945 Be
0.000 0.000 24.959 Br
```

Results
- density (kg/m3) = 2335
- ΔE to the lowest computed polymorph (meV per atom) = 207.1
- magnetic moment (μB per atom) = 0.087
- formation energy without anion corrections (eV/atom) = 0.083
- SG = R3m, No. 160
- electronic total energy (eV/atom) = -2.065

Entry 12:
Density functional theory data (PBE-GGA) for crystalline MgBe3Br at its relaxed geometry.

Cell and atoms, written as POSCAR:
```
MgBe3Br
1.0
4.863 0.000 0.000
0.000 4.863 0.000
0.000 0.000 4.863
Mg Be Br
1 3 1
Cartesian
0.000 0.000 0.000 Mg
0.000 0.000 2.432 Be
0.000 2.432 0.000 Be
2.432 0.000 0.000 Be
2.432 2.432 2.432 Br
```

Results
- density (kg/m3) = 1895
- ΔE to the lowest computed polymorph (meV per atom) = 55.1
- magnetic moment (μB per atom) = 0.000
- formation energy without anion corrections (eV/atom) = 1.409
- SG = Pm-3m, No. 221
- electronic total energy (eV/atom) = -1.480